LiIn5Hg | PBE | optimized geometry

a = 5.712 Å, b = 5.712 Å, c = 10.944 Å
α = 90.04°, β = 90.04°, γ = 86.27°
Sites, in units of the cell vectors:
1 Li 0.000 0.000 0.000
2 Li 0.000 0.000 0.500
3 In 0.173 0.448 0.106
4 In 0.174 0.448 0.395
5 In 0.326 0.674 0.750
6 In 0.448 0.173 0.606
7 In 0.448 0.174 0.895
8 In 0.552 0.826 0.105
9 In 0.552 0.827 0.394
10 In 0.674 0.326 0.250
11 In 0.826 0.552 0.605
12 In 0.827 0.552 0.894
13 Hg 0.070 0.930 0.250
14 Hg 0.930 0.070 0.750

* electronic total energy: -2.315 eV per atom
* energy relative to the elements: -43 meV per atom